Compound: PuSb2Pd6
Source: Alexandria
Functional: GGA-PBE
Structure: optimized geometry

The structure in CIF format:
```
data_PuSb2Pd6
_chemical_formula_sum 'Pu1 Sb2 Pd6'
_cell_length_a 5.625
_cell_length_b 5.625
_cell_length_c 7.011
_cell_angle_alpha 90.00
_cell_angle_beta 90.00
_cell_angle_gamma 120.00
_space_group_name_H-M_alt 'P 1'
_space_group_IT_number 1
loop_
_space_group_symop_operation_xyz
'x,y,z'
loop_
_atom_site_label
_atom_site_fract_x
_atom_site_fract_y
_atom_site_fract_z
Pu1 0.000 0.000 0.000
Sb1 0.333 0.667 0.500
Sb2 0.667 0.333 0.500
Pd1 0.501 0.000 0.195
Pd2 0.499 0.499 0.195
Pd3 0.000 0.501 0.195
Pd4 0.501 0.501 0.805
Pd5 0.000 0.499 0.805
Pd6 0.499 0.000 0.805
```

Properties
As for the uncorrected formation energy: -0.312 eV per atom. The raw total energy comes out at -0.231 hartree per atom. As for the mass density: 9.73 g cm⁻³. Its energy above the most stable polymorph in this dataset is 56 meV/atom. For the spin magnetization, the calculation gives 5.0 μB/f.u.